DFT (PBE-GGA) results for a relaxed structure of Y4Zn3Ga16.

Unit cell a=6.2607 b=6.2607 c=11.3518 alpha=90.00 beta=90.00 gamma=90.00
Closest atoms and distances in Å follow each position.
Atoms (fractional coordinates):
Y1 0.5000 0.0000 0.8124  12 Ga 3.08-3.18
Y2 0.0000 0.5000 0.1876  12 Ga 3.08-3.18
Y3 0.0000 0.5000 0.8124  12 Ga 3.08-3.18
Y4 0.5000 0.0000 0.1876  12 Ga 3.08-3.18
Zn1 0.0000 0.5000 0.5000  8 Ga 2.62
Zn2 0.0000 0.0000 0.0000  6 Ga 2.57-2.71
Zn3 0.5000 0.0000 0.5000  8 Ga 2.62
Ga1 0.0000 0.0000 0.7613  1 Zn 2.71, 4 Ga 2.78
Ga2 0.2906 0.2906 0.0000  1 Zn 2.57, 2 Ga 2.62
Ga3 0.5000 0.5000 0.8040  8 Ga 2.90-2.96, 4 Y 3.13
Ga4 0.7094 0.2906 0.0000  1 Zn 2.57, 2 Ga 2.62
Ga5 0.5000 0.5000 0.1960  8 Ga 2.90-2.96, 4 Y 3.13
Ga6 0.7094 0.7094 0.0000  1 Zn 2.57, 2 Ga 2.62
Ga7 0.0000 0.0000 0.2387  1 Zn 2.71, 4 Ga 2.78
Ga8 0.7412 0.7412 0.6233  2 Zn 2.62, 2 Ga 2.78-2.80
Ga9 0.7412 0.2588 0.3767  2 Zn 2.62, 2 Ga 2.78-2.80
Ga10 0.2588 0.2588 0.6233  2 Zn 2.62, 2 Ga 2.78-2.80
Ga11 0.2588 0.7412 0.3767  2 Zn 2.62, 2 Ga 2.78-2.80
Ga12 0.2906 0.7094 0.0000  1 Zn 2.57, 2 Ga 2.62
Ga13 0.7412 0.7412 0.3767  2 Zn 2.62, 2 Ga 2.78-2.80
Ga14 0.7412 0.2588 0.6233  2 Zn 2.62, 2 Ga 2.78-2.80
Ga15 0.2588 0.2588 0.3767  2 Zn 2.62, 2 Ga 2.78-2.80
Ga16 0.2588 0.7412 0.6233  2 Zn 2.62, 2 Ga 2.78-2.80

Output
The formation enthalpy at 0 K comes out at -329.9 meV per atom.